Arrangement a

An optimized crystal structure of CoAgOs2, computed with GGA-PBE.

a b c (Å): 7.150 7.150 5.620
angles (deg): 50.49 50.49 90.00
Positions (direct):
Co 0.500 0.500 0.000
Co 0.250 0.750 0.500
Os 0.565 0.125 0.250
Os 0.185 0.625 0.250
Os 0.375 0.435 0.750
Os 0.875 0.815 0.750
Ag 0.000 0.000 0.000
Ag 0.750 0.250 0.500

For the volume, the calculation gives 15.677 Å³/atom. The mass density is 14.49 g cm⁻³. Its total moment is 0.60 μB/f.u. The calculation puts the density of states at the Fermi level at 12.16 states/eV/cell.

Arrangement b

An optimized crystal structure of CoAgOs2, computed with GGA-PBE.

a b c (Å): 4.681 4.681 4.801
angles (deg): 80.73 80.73 33.70
Positions (direct):
Ag 0.503 0.503 0.481
Co 0.258 0.258 0.243
Os 0.997 0.997 0.984
Os 0.742 0.742 0.793

For the volume, the calculation gives 14.386 Å³/atom. The mass density is 15.79 g cm⁻³. Its total moment is 1.52 μB/f.u. The calculation puts the density of states at the Fermi level at 4.39 states/eV/cell.

Arrangement c

An optimized crystal structure of CoAgOs2, computed with GGA-PBE.

a b c (Å): 5.535 5.535 5.535
angles (deg): 151.83 132.98 55.71
Positions (direct):
Ag 0.750 0.250 0.500
Co 0.250 0.750 0.500
Os 0.036 0.036 0.000
Os 0.464 0.464 0.000

For the volume, the calculation gives 14.549 Å³/atom. The mass density is 15.62 g cm⁻³. Its total moment is 1.03 μB/f.u. The calculation puts the density of states at the Fermi level at 4.69 states/eV/cell.

Which is the most stable structure? arrangement c is the most stable.

Arrangement a

An optimized crystal structure of CoAgOs2, computed with GGA-PBE.

a b c (Å): 2.655 2.655 8.041
angles (deg): 90.00 90.00 90.00
Positions (direct):
Ag 0.500 0.500 0.250
Co 0.500 0.500 0.750
Os 0.000 0.000 0.970
Os 0.000 0.000 0.530

For the volume, the calculation gives 14.168 Å³/atom. The mass density is 16.04 g cm⁻³. Its total moment is 0.43 μB/f.u. The calculation puts the density of states at the Fermi level at 4.29 states/eV/cell.

Arrangement b

An optimized crystal structure of CoAgOs2, computed with GGA-PBE.

a b c (Å): 2.664 3.660 5.939
angles (deg): 90.00 90.00 90.00
Positions (direct):
Ag 0.500 0.500 0.250
Co 0.500 0.500 0.750
Os 0.000 0.000 0.958
Os 0.000 0.000 0.542

For the volume, the calculation gives 14.478 Å³/atom. The mass density is 15.69 g cm⁻³. Its total moment is 0.63 μB/f.u. The calculation puts the density of states at the Fermi level at 4.64 states/eV/cell.

Arrangement c

An optimized crystal structure of CoAgOs2, computed with GGA-PBE.

a b c (Å): 9.177 9.177 9.177
angles (deg): 16.92 16.92 16.92
Positions (direct):
Ag 0.250 0.250 0.250
Co 0.750 0.750 0.750
Os 0.008 0.008 0.008
Os 0.492 0.492 0.492

For the volume, the calculation gives 14.273 Å³/atom. The mass density is 15.92 g cm⁻³. Its total moment is 1.15 μB/f.u. The calculation puts the density of states at the Fermi level at 3.40 states/eV/cell.

Which is the most stable structure? arrangement c is the most stable.